Record 1
Compound: ZnAsOF2
Source: Alexandria via LeMat-Bulk
Functional: SCAN
Structure: PBEsol geometry

Lattice parameters (Å, degrees): 4.227 4.227 3.891 90.00 90.00 90.00
Space group P4/mmm (No. 123)
Unique sites:
Zn (0.000, 0.000, 0.000)
As (0.500, 0.500, 0.500)
O (0.500, 0.500, 0.000)
F (0.000, 0.500, 0.500)

Fermi-level density of states, states/eV/atom: 0.151
Formation energy from raw total energies, eV per atom: -0.9809

***

Record 2
Compound: MgBeSi2
Source: Alexandria via LeMat-Bulk
Functional: SCAN
Structure: PBEsol geometry

Lattice parameters (Å, degrees): 3.591 4.069 7.743 90.00 90.00 90.00
Space group Immm (No. 71)
Unique sites:
Mg (0.000, 0.000, 0.000)
Be (0.000, 0.000, 0.500)
Si (0.000, 0.500, 0.238)

Fermi-level density of states, states/eV/atom: 0.353
Energy above the lowest structure with this stoichiometry, kJ/mol of formula units: 15.9
Formation energy from raw total energies, eV per atom: 0.4182

***

Record 3
Compound: Ta2RePt
Source: Alexandria via LeMat-Bulk
Functional: SCAN
Structure: PBEsol geometry

Lattice parameters (Å, degrees): 2.8009 2.8009 28.6418 90.00 90.00 120.00
Space group R3m (No. 160, hexagonal axes)
Unique sites:
Ta (0.0000, 0.0000, 0.0000)
Ta (0.0000, 0.0000, 0.2433)
Re (0.0000, 0.0000, 0.4922)
Pt (0.0000, 0.0000, 0.7471)

Formation enthalpy at 0 K, eV per atom: 0.00
Fermi-level density of states, states/eV/atom: 0.673

***

Record 4
Compound: Cr2RuPbC
Source: Alexandria via LeMat-Bulk
Functional: SCAN
Structure: PBEsol geometry

Lattice parameters (Å, degrees): 4.564 4.564 5.092 90.00 90.00 90.00
Space group P4/mmm (No. 123)
Unique sites:
Cr (0.000, 0.500, 0.000)
Ru (0.000, 0.000, 0.000)
Pb (0.000, 0.000, 0.500)
C (0.500, 0.500, 0.500)

Formation enthalpy at 0 K, eV per atom: 1.85
Fermi-level density of states, states/eV/atom: 0.529

***

Record 5
Compound: LiCo4
Source: Alexandria via LeMat-Bulk
Functional: SCAN
Structure: PBEsol geometry

Lattice parameters (Å, degrees): 5.444 5.444 3.500 90.00 90.00 90.00
Space group I4/m (No. 87)
Unique sites:
Li (0.000, 0.000, 0.000)
Co (0.092, 0.300, 0.500)

Formation enthalpy at 0 K, eV per atom: 0.14
Fermi-level density of states, states/eV/atom: 0.720

***

Record 6
Compound: CoCuI3
Source: Alexandria via LeMat-Bulk
Functional: SCAN
Structure: PBEsol geometry

Lattice parameters (Å, degrees): 5.269 5.269 5.269 90.00 90.00 90.00
Space group Pm-3m (No. 221)
Unique sites:
Co (0.000, 0.000, 0.000)
Cu (0.500, 0.500, 0.500)
I (0.000, 0.500, 0.500)

Fermi-level density of states, states/eV/atom: 1.012
Formation energy from raw total energies, eV per atom: 0.7039

***

Record 7
Compound: HfGaPdS2
Source: Alexandria via LeMat-Bulk
Functional: SCAN
Structure: PBEsol geometry

Lattice parameters (Å, degrees): 4.527 4.527 4.586 90.00 90.00 90.00
Space group P4/mmm (No. 123)
Unique sites:
Hf (0.000, 0.000, 0.000)
Ga (0.500, 0.500, 0.500)
Pd (0.500, 0.500, 0.000)
S (0.000, 0.500, 0.500)

Fermi-level density of states, states/eV/atom: 0.527
Formation energy from raw total energies, eV per atom: 0.2610

***

Record 8
Compound: BaScF2
Source: Alexandria via LeMat-Bulk
Functional: SCAN
Structure: PBEsol geometry

Lattice parameters (Å, degrees): 5.123 5.123 13.001 90.00 90.00 90.00
Space group I-42d (No. 122)
Unique sites:
Ba (0.000, 0.000, 0.000)
Sc (0.000, 0.000, 0.500)
F (0.063, 0.250, 0.625)

Fermi-level density of states, states/eV/atom: 0.817
Formation energy from raw total energies, eV per atom: -2.4559

***

Record 9
Compound: KMnSi
Source: Alexandria via LeMat-Bulk
Functional: SCAN
Structure: PBEsol geometry

Lattice parameters (Å, degrees): 4.1355 4.1355 5.4205 90.00 90.00 120.00
Space group P-6m2 (No. 187)
Unique sites:
K (0.0000, 0.0000, 0.0000)
Mn (0.3333, 0.6667, 0.5000)
Si (0.6667, 0.3333, 0.5000)

Fermi-level density of states, states/eV/atom: 0.369
Formation energy from raw total energies, eV per atom: 0.1325

***

Record 10
Compound: TcHg3H
Source: Alexandria via LeMat-Bulk
Functional: SCAN
Structure: PBEsol geometry

Lattice parameters (Å, degrees): 5.256 5.256 5.256 90.00 90.00 90.00
Space group Pm-3m (No. 221)
Unique sites:
Tc (0.000, 0.000, 0.000)
Hg (0.000, 0.000, 0.500)
H (0.500, 0.500, 0.500)

Fermi-level density of states, states/eV/atom: 0.379
Energy above the lowest structure with this stoichiometry, kJ/mol of formula units: 75.6

***

Record 11
Compound: YAg2Rh
Source: Alexandria via LeMat-Bulk
Functional: SCAN
Structure: PBEsol geometry

Lattice parameters (Å, degrees): 4.210 4.210 8.036 90.00 90.00 90.00
Space group I-4m2 (No. 119)
Unique sites:
Y (0.000, 0.000, 0.000)
Ag (0.000, 0.000, 0.500)
Ag (0.000, 0.500, 0.750)
Rh (0.000, 0.500, 0.250)

Formation enthalpy at 0 K, eV per atom: -0.36
Fermi-level density of states, states/eV/atom: 0.291
Energy above the lowest structure with this stoichiometry, kJ/mol of formula units: 31.7

***

Record 12
Compound: Zn4SbIr
Source: Alexandria via LeMat-Bulk
Functional: SCAN
Structure: PBEsol geometry

Lattice parameters (Å, degrees): 7.136 7.136 7.136 90.00 90.00 90.00
Space group F-43m (No. 216)
Unique sites:
Zn (0.124, 0.124, 0.124)
Sb (0.000, 0.000, 0.500)
Ir (0.250, 0.250, 0.750)

Fermi-level density of states, states/eV/atom: 0.183
Formation energy from raw total energies, eV per atom: 0.1257

***

Record 13
Compound: AlGaAg2F
Source: Alexandria via LeMat-Bulk
Functional: SCAN
Structure: PBEsol geometry

Lattice parameters (Å, degrees): 4.782 4.782 4.994 90.00 90.00 90.00
Space group P4/mmm (No. 123)
Unique sites:
Al (0.000, 0.000, 0.000)
Ga (0.000, 0.000, 0.500)
Ag (0.000, 0.500, 0.000)
F (0.500, 0.500, 0.500)

Fermi-level density of states, states/eV/atom: 0.528
Formation energy from raw total energies, eV per atom: 0.2256

***

Record 14
Compound: Co4CuAg
Source: Alexandria via LeMat-Bulk
Functional: SCAN
Structure: PBEsol geometry

Lattice parameters (Å, degrees): 6.599 6.599 6.599 90.00 90.00 90.00
Space group F-43m (No. 216)
Unique sites:
Co (0.125, 0.125, 0.125)
Cu (0.000, 0.000, 0.500)
Ag (0.250, 0.250, 0.750)

Formation enthalpy at 0 K, eV per atom: 0.32
Fermi-level density of states, states/eV/atom: 0.845

***

Record 15
Compound: LaInPb2
Source: Alexandria via LeMat-Bulk
Functional: SCAN
Structure: PBEsol geometry

Lattice parameters (Å, degrees): 4.826 4.826 4.764 90.00 90.00 90.00
Space group P4/mmm (No. 123)
Unique sites:
La (0.000, 0.000, 0.000)
In (0.500, 0.500, 0.000)
Pb (0.000, 0.500, 0.500)

Formation enthalpy at 0 K, eV per atom: -0.62
Fermi-level density of states, states/eV/atom: 0.469

***

Record 16
Compound: CaZnSi
Source: Alexandria via LeMat-Bulk
Functional: SCAN
Structure: PBEsol geometry

Lattice parameters (Å, degrees): 4.1857 4.1857 8.0488 90.00 90.00 120.00
Space group P6_3/mmc (No. 194)
Unique sites:
Ca (0.0000, 0.0000, 0.0000)
Zn (0.3333, 0.6667, 0.2500)
Si (0.3333, 0.6667, 0.7500)

Fermi-level density of states, states/eV/atom: 0.090
Formation energy from raw total energies, eV per atom: -0.4941

***

Record 17
Compound: As2OsW
Source: Alexandria via LeMat-Bulk
Functional: SCAN
Structure: PBEsol geometry

Lattice parameters (Å, degrees): 4.346 4.346 3.067 90.00 90.00 90.00
Space group P4/mmm (No. 123)
Unique sites:
As (0.000, 0.500, 0.000)
Os (0.000, 0.000, 0.500)
W (0.500, 0.500, 0.500)

Formation enthalpy at 0 K, eV per atom: 0.30
Fermi-level density of states, states/eV/atom: 0.447
Energy above the lowest structure with this stoichiometry, kJ/mol of formula units: 0.0

***

Record 18
Compound: SrAsW2
Source: Alexandria via LeMat-Bulk
Functional: SCAN
Structure: PBEsol geometry

Lattice parameters (Å, degrees): 3.279 3.279 7.432 90.00 90.00 90.00
Space group P4mm (No. 99)
Unique sites:
Sr (0.000, 0.000, 0.000)
As (0.500, 0.500, 0.695)
W (0.000, 0.000, 0.501)
W (0.500, 0.500, 0.327)

Formation enthalpy at 0 K, eV per atom: 0.28
Fermi-level density of states, states/eV/atom: 0.697

***

Record 19
Compound: BWCl3
Source: Alexandria via LeMat-Bulk
Functional: SCAN
Structure: PBEsol geometry

Lattice parameters (Å, degrees): 4.365 4.365 4.365 90.00 90.00 90.00
Space group Pm-3m (No. 221)
Unique sites:
B (0.000, 0.000, 0.000)
W (0.500, 0.500, 0.500)
Cl (0.000, 0.000, 0.500)

Fermi-level density of states, states/eV/atom: 0.698
Formation energy from raw total energies, eV per atom: 1.3608

***

Record 20
Compound: Ca3GeMo
Source: Alexandria via LeMat-Bulk
Functional: SCAN
Structure: PBEsol geometry

Lattice parameters (Å, degrees): 5.580 5.580 5.580 90.00 90.00 90.00
Space group Pm-3m (No. 221)
Unique sites:
Ca (0.000, 0.000, 0.500)
Ge (0.000, 0.000, 0.000)
Mo (0.500, 0.500, 0.500)

Formation enthalpy at 0 K, eV per atom: 0.51
Fermi-level density of states, states/eV/atom: 0.484

***

Values for magnetization, Bohr magnetons per cell, ordered as above
0.86; 0.00; 0.00; 5.71; 13.86; 3.00; 0.00; 0.01; 4.00; 3.53; 0.00; 0.00; 0.00; 29.96; 0.00; 0.00; 0.00; 0.49; 4.44; 5.95